VASP calculation (PBE) on a relaxed Sc3MnPb3Se8 crystal.

```
Sc3MnPb3Se8
1.0
7.875 0.000 0.000
-3.937 6.818 -0.026
0.000 -4.516 7.344
Mn Se Pb Sc
1 8 3 3
Cartesian
0.000 -2.258 3.672 Mn
3.938 0.019 5.150 Se
0.000 2.283 2.168 Se
0.000 0.016 5.192 Se
5.912 -1.130 2.139 Se
3.937 2.287 2.127 Se
1.974 3.433 5.179 Se
1.963 -1.130 2.139 Se
-1.974 3.433 5.179 Se
1.969 3.409 -0.013 Pb
-1.969 3.409 -0.013 Pb
0.000 0.000 0.000 Pb
3.937 -2.258 3.672 Sc
1.969 1.151 3.659 Sc
-1.969 1.151 3.659 Sc
```

Calculated values
Magnetic moment, μB/cell: 4.84
E_tot, eV/atom: -5.47
Energy relative to the elements, uncorrected, eV per atom: -0.99